The following is a DFT calculation (PBE) of an optimized crystal structure of SiTeAu3.

Calculated values
DOS(E_F)	5.419	states/eV/f.u.
raw formation energy	0.3912	eV per atom

Lattice parameters (Å, degrees): 4.848 4.848 4.848 90.00 90.00 90.00
Atoms (fractional coordinates):
Si1 0.000 0.000 0.000
Te1 0.500 0.500 0.500
Au1 0.000 0.500 0.000
Au2 0.000 0.000 0.500
Au3 0.500 0.000 0.000